# 1
Entry from Alexandria: a relaxed CaO crystal (PBEsol).

Cell and atoms, written as POSCAR:
```
CaO
1.0
3.377 0.000 0.000
1.688 2.925 0.000
1.688 0.975 2.757
Ca O
1 1
Direct
0.500 0.500 0.500
0.000 0.000 0.000
```

Results
Fermi-level density of states = 0.000 states/eV per atom
SG = No. 225
E_form (uncorrected) = -6.03 eV per formula unit
uncorrected energy = -6.706 eV per atom

# 2
Entry from Alexandria: a relaxed Zr2NiPb crystal (PBEsol).

Cell and atoms, written as POSCAR:
```
Zr2NiPb
1.0
3.097 0.031 0.000
-0.026 3.097 0.000
0.000 0.000 8.089
Ni Pb Zr
1 1 2
Direct
0.500 0.500 0.500
0.500 0.500 0.000
0.000 0.000 0.295
0.000 0.000 0.705
```

Results
Fermi-level density of states = 1.062 states/eV per atom
SG = No. 65
energy of formation from the pure elements = -23.32 kJ per mole of atoms
uncorrected energy = -7.326 eV per atom

# 3
Entry from Alexandria: a relaxed SrZr2Hg crystal (PBEsol).

Cell and atoms, written as POSCAR:
```
SrZr2Hg
1.0
-2.463 -0.869 -2.169
0.108 -3.005 -1.576
-6.132 -5.567 6.538
Hg Sr Zr
1 1 2
Direct
0.493 0.493 0.521
0.245 0.245 0.265
0.010 0.010 0.969
0.752 0.752 0.745
```

Results
Fermi-level density of states = 0.738 states/eV per atom
SG = No. 160
energy of formation from the pure elements = 9.24 kJ per mole of atoms
uncorrected energy = -5.051 eV per atom

# 4
Entry from Alexandria: a relaxed Ga2Cu3Se6O18 crystal (PBEsol).

Cell and atoms, written as POSCAR:
```
Ga2Cu3Se6O18
1.0
7.524 0.000 -0.007
0.000 8.077 0.000
-1.271 0.000 12.271
Ga Cu Se O
4 6 12 36
Direct
0.130 0.493 0.824
0.370 0.993 0.176
0.870 0.507 0.176
0.630 0.007 0.824
0.000 0.000 0.500
0.500 0.500 0.500
0.870 0.623 0.618
0.630 0.123 0.382
0.130 0.377 0.382
0.370 0.877 0.618
0.055 0.910 0.786
0.445 0.410 0.214
0.945 0.090 0.214
0.555 0.590 0.786
0.806 0.691 0.390
0.694 0.191 0.610
0.194 0.309 0.610
0.306 0.809 0.390
0.143 0.695 0.042
0.357 0.195 0.958
0.857 0.305 0.958
0.643 0.805 0.042
0.849 0.996 0.745
0.651 0.496 0.255
0.151 0.004 0.255
0.349 0.504 0.745
0.158 0.978 0.677
0.342 0.478 0.323
0.842 0.022 0.323
0.658 0.522 0.677
0.013 0.702 0.747
0.487 0.202 0.253
0.987 0.298 0.253
0.513 0.798 0.747
0.955 0.766 0.502
0.545 0.266 0.498
0.045 0.234 0.498
0.455 0.734 0.502
0.968 0.599 0.322
0.532 0.099 0.678
0.032 0.401 0.678
0.468 0.901 0.322
0.752 0.535 0.482
0.748 0.035 0.518
0.248 0.465 0.518
0.252 0.965 0.482
0.263 0.607 0.943
0.237 0.107 0.057
0.737 0.393 0.057
0.763 0.893 0.943
0.094 0.517 0.111
0.406 0.017 0.889
0.906 0.483 0.889
0.594 0.983 0.111
0.321 0.761 0.131
0.179 0.261 0.869
0.679 0.239 0.869
0.821 0.739 0.131
```

Results
Fermi-level density of states = 0.062 states/eV per atom
SG = No. 14
E_form (uncorrected) = -26.58 eV per formula unit
uncorrected energy = -5.650 eV per atom